[1]
VASP calculation (PBE-GGA) on a relaxed structure of ErScFe.

Lattice parameters (Å, degrees): 6.663 6.663 7.034 90.00 90.00 123.05
Atoms (fractional coordinates):
Er 0.195 0.805 0.888
Er 0.305 0.695 0.388
Er 0.695 0.305 0.612
Er 0.805 0.195 0.112
Sc 0.208 0.292 0.750
Sc 0.292 0.208 0.250
Sc 0.708 0.792 0.750
Sc 0.792 0.708 0.250
Fe 0.092 0.908 0.541
Fe 0.408 0.592 0.041
Fe 0.592 0.408 0.959
Fe 0.908 0.092 0.459

Computed properties:
D(E_F): 3.10 states/eV/f.u.
E above lowest polymorph: 21 meV/atom
ΔE_f: -0.022 eV/atom

[2]
VASP calculation (PBE-GGA) on a relaxed structure of LaTlSi2Pd.

Lattice parameters (Å, degrees): 4.767 4.767 5.359 90.00 90.00 90.00
Atoms (fractional coordinates):
La 0.000 0.000 0.000
Tl 0.500 0.500 0.000
Si 0.000 0.500 0.500
Si 0.500 0.000 0.500
Pd 0.500 0.500 0.500

Computed properties:
energy: -4.65 eV/atom
D(E_F): 0.86 states/eV/f.u.

[3]
VASP calculation (PBE-GGA) on a relaxed structure of DyHoTm2.

Lattice parameters (Å, degrees): 5.596 5.596 5.596 60.00 60.00 60.00
Atoms (fractional coordinates):
Dy 0.000 0.000 0.000
Ho 0.500 0.500 0.500
Tm 0.250 0.250 0.250
Tm 0.750 0.750 0.750

Computed properties:
D(E_F): 9.81 states/eV/f.u.
E above lowest polymorph: 135 meV/atom
ΔE_f: 0.137 eV/atom

[4]
VASP calculation (PBE-GGA) on a relaxed structure of NiPdPt2N.

Lattice parameters (Å, degrees): 4.246 4.246 3.698 90.00 90.00 90.00
Atoms (fractional coordinates):
Ni 0.000 0.000 0.000
Pd 0.500 0.500 0.000
Pt 0.000 0.500 0.500
Pt 0.500 0.000 0.500
N 0.000 0.000 0.500

Computed properties:
energy: -5.98 eV/atom
D(E_F): 5.87 states/eV/f.u.

[5]
VASP calculation (PBE-GGA) on a relaxed structure of ZnCdHg.

Lattice parameters (Å, degrees): 6.559 6.559 6.559 151.75 151.75 40.38
Atoms (fractional coordinates):
Zn 0.000 0.000 0.000
Cd 0.654 0.654 0.000
Hg 0.342 0.342 0.000

Computed properties:
D(E_F): 0.91 states/eV/f.u.
E above lowest polymorph: 20 meV/atom
ΔE_f: 0.090 eV/atom

[6]
VASP calculation (PBE-GGA) on a relaxed structure of TcRh3O.

Lattice parameters (Å, degrees): 4.113 4.113 4.113 90.00 90.00 90.00
Atoms (fractional coordinates):
Tc 0.000 0.000 0.000
Rh 0.000 0.500 0.500
Rh 0.500 0.000 0.500
Rh 0.500 0.500 0.000
O 0.500 0.500 0.500

Computed properties:
D(E_F): 6.88 states/eV/f.u.
E above lowest polymorph: 0 meV/atom

[7]
VASP calculation (PBE-GGA) on a relaxed structure of CeYEr2.

Lattice parameters (Å, degrees): 3.532 3.532 11.286 90.00 90.00 120.00
Atoms (fractional coordinates):
Ce 0.000 0.000 0.000
Y 0.000 0.000 0.500
Er 0.333 0.667 0.755
Er 0.667 0.333 0.245

Computed properties:
D(E_F): 7.30 states/eV/f.u.
E above lowest polymorph: 0 meV/atom
ΔE_f: 0.027 eV/atom

[8]
VASP calculation (PBE-GGA) on a relaxed structure of TbSmErPu.

Lattice parameters (Å, degrees): 5.604 5.604 5.604 60.00 60.00 60.00
Atoms (fractional coordinates):
Tb 0.000 0.000 0.000
Sm 0.500 0.500 0.500
Er 0.250 0.250 0.250
Pu 0.750 0.750 0.750

Computed properties:
D(E_F): 11.19 states/eV/f.u.
ΔE_f: 0.202 eV/atom